This record from Alexandria via LeMat-Bulk describes a relaxed YVGe crystal. The functional is GGA-PBE.

- ΔH_f (0 K): -0.43 eV per atom

The structure in CIF format:
```
data_YVGe
_chemical_formula_sum 'Y4 V4 Ge4'
_cell_length_a 3.8682
_cell_length_b 10.7824
_cell_length_c 5.7692
_cell_angle_alpha 90.00
_cell_angle_beta 90.00
_cell_angle_gamma 90.00
_symmetry_space_group_name_H-M 'C m c m'
_symmetry_Int_Tables_number 63
_symmetry_space_group_name_Hall '-C 2c 2'
loop_
_atom_site_label
_atom_site_fract_x
_atom_site_fract_y
_atom_site_fract_z
Y1 0.0000 0.1939 0.2500
V1 0.0000 0.5000 0.0000
Ge1 0.0000 0.0962 0.7500
```

***

This record from Alexandria via LeMat-Bulk describes a relaxed YV2Ge crystal. The functional is GGA-PBE.

- ΔH_f (0 K): 0.21 eV per atom

The structure in CIF format:
```
data_YV2Ge
_chemical_formula_sum 'Y4 V8 Ge4'
_cell_length_a 4.1759
_cell_length_b 4.1759
_cell_length_c 18.6299
_cell_angle_alpha 90.00
_cell_angle_beta 90.00
_cell_angle_gamma 90.00
_symmetry_space_group_name_H-M 'I -4 2 d'
_symmetry_Int_Tables_number 122
_symmetry_space_group_name_Hall 'I -4 2bw'
loop_
_atom_site_label
_atom_site_fract_x
_atom_site_fract_y
_atom_site_fract_z
Y1 0.0000 0.0000 0.0000
V1 0.0780 0.2500 0.6250
Ge1 0.0000 0.0000 0.5000
```

***

This record from Alexandria via LeMat-Bulk describes a relaxed YVGe crystal. The functional is GGA-PBE.

- ΔH_f (0 K): -0.36 eV per atom

The structure in CIF format:
```
data_YVGe
_chemical_formula_sum 'Y4 V4 Ge4'
_cell_length_a 5.1526
_cell_length_b 5.7145
_cell_length_c 7.6078
_cell_angle_alpha 90.00
_cell_angle_beta 90.00
_cell_angle_gamma 90.00
_symmetry_space_group_name_H-M 'I m m 2'
_symmetry_Int_Tables_number 44
_symmetry_space_group_name_Hall 'I 2 -2'
loop_
_atom_site_label
_atom_site_fract_x
_atom_site_fract_y
_atom_site_fract_z
Y1 0.0000 0.0000 0.0000
Y2 0.0000 0.5000 0.2257
V1 0.2476 0.5000 0.8625
Ge1 0.0000 0.2494 0.6123
```

***

This record from Alexandria via LeMat-Bulk describes a relaxed YVGe crystal. The functional is GGA-PBE.

- ΔH_f (0 K): -0.22 eV per atom

The structure in CIF format:
```
data_YVGe
_chemical_formula_sum 'Y4 V4 Ge4'
_cell_length_a 8.4918
_cell_length_b 7.3079
_cell_length_c 4.2748
_cell_angle_alpha 90.00
_cell_angle_beta 114.78
_cell_angle_gamma 90.00
_symmetry_space_group_name_H-M 'C 1 2 1'
_symmetry_Int_Tables_number 5
_symmetry_space_group_name_Hall 'C 2y'
loop_
_atom_site_label
_atom_site_fract_x
_atom_site_fract_y
_atom_site_fract_z
Y1 0.1945 0.0000 0.4349
V1 0.0661 0.3241 0.8588
Ge1 0.1046 0.7018 0.8605
```

***

This record from Alexandria via LeMat-Bulk describes a relaxed Y3VGe crystal. The functional is GGA-PBE.

- E above lowest polymorph: 0.0 meV/atom
- ΔH_f (0 K): 0.33 eV per atom

The structure in CIF format:
```
data_Y3VGe
_chemical_formula_sum 'Y3 V1 Ge1'
_cell_length_a 5.4294
_cell_length_b 5.4294
_cell_length_c 5.4294
_cell_angle_alpha 90.00
_cell_angle_beta 90.00
_cell_angle_gamma 90.00
_symmetry_space_group_name_H-M 'P m -3 m'
_symmetry_Int_Tables_number 221
_symmetry_space_group_name_Hall '-P 4 2 3'
loop_
_atom_site_label
_atom_site_fract_x
_atom_site_fract_y
_atom_site_fract_z
Y1 0.0000 0.0000 0.5000
V1 0.5000 0.5000 0.5000
Ge1 0.0000 0.0000 0.0000
```

***

This record from Alexandria via LeMat-Bulk describes a relaxed YVGe crystal. The functional is GGA-PBE.

- ΔH_f (0 K): -0.30 eV per atom

The structure in CIF format:
```
data_YVGe
_chemical_formula_sum 'Y4 V4 Ge4'
_cell_length_a 8.1204
_cell_length_b 3.5177
_cell_length_c 9.1955
_cell_angle_alpha 90.00
_cell_angle_beta 100.55
_cell_angle_gamma 90.00
_symmetry_space_group_name_H-M 'C 1 2/m 1'
_symmetry_Int_Tables_number 12
_symmetry_space_group_name_Hall '-C 2y'
loop_
_atom_site_label
_atom_site_fract_x
_atom_site_fract_y
_atom_site_fract_z
Y1 0.1782 0.0000 0.1623
V1 0.1346 0.5000 0.4491
Ge1 0.0900 0.0000 0.6538
```

***

This record from Alexandria via LeMat-Bulk describes a relaxed V2ZnGe crystal. The functional is GGA-PBE.

- ΔH_f (0 K): -0.09 eV per atom

The structure in CIF format:
```
data_V2ZnGe
_chemical_formula_sum 'V2 Zn1 Ge1'
_cell_length_a 3.7283
_cell_length_b 3.7283
_cell_length_c 3.9667
_cell_angle_alpha 90.00
_cell_angle_beta 90.00
_cell_angle_gamma 90.00
_symmetry_space_group_name_H-M 'P 4/m m m'
_symmetry_Int_Tables_number 123
_symmetry_space_group_name_Hall '-P 4 2'
loop_
_atom_site_label
_atom_site_fract_x
_atom_site_fract_y
_atom_site_fract_z
V1 0.0000 0.5000 0.0000
Zn1 0.0000 0.0000 0.5000
Ge1 0.5000 0.5000 0.5000
```

***

This record from Alexandria via LeMat-Bulk describes a relaxed V2ZnGe4 crystal. The functional is GGA-PBE.

- ΔH_f (0 K): 0.63 eV per atom

The structure in CIF format:
```
data_V2ZnGe4
_chemical_formula_sum 'V4 Zn2 Ge8'
_cell_length_a 4.8693
_cell_length_b 4.8693
_cell_length_c 12.0802
_cell_angle_alpha 90.00
_cell_angle_beta 90.00
_cell_angle_gamma 90.00
_symmetry_space_group_name_H-M 'I 4/m m m'
_symmetry_Int_Tables_number 139
_symmetry_space_group_name_Hall '-I 4 2'
loop_
_atom_site_label
_atom_site_fract_x
_atom_site_fract_y
_atom_site_fract_z
V1 0.0000 0.0000 0.0877
Zn1 0.0000 0.0000 0.5000
Ge1 0.0000 0.0000 0.2978
Ge2 0.0000 0.5000 0.0000
```